# 1
5
Lattice="-1.7525 -2.5490 -4.0344 1.8556 -4.3236 1.9257 -4.4661 -0.8215 2.4591" Properties=species:S:1:pos:R:3 comment="TaGeAsBr2, relaxed, DFT PBE" formation_energy_uncorrected_mev_per_atom=367 spacegroup="P4/mmm, No. 123" mass_density_g_cm3=6.1 energy_ev_per_atom=-4.526 magmom_total_mub_per_cell=0.9 pbc="T T T"
As -2.2330 -0.4108 1.2295
Ge -2.1815 -3.8470 0.1752
Br 0.9278 -2.1618 0.9628
Br -0.8763 -1.2745 -2.0172
Ta 0.0000 0.0000 0.0000

***

# 2
4
Lattice="-2.4695 1.5149 -0.9101 -1.6756 -2.5043 0.3782 -1.0904 1.5714 5.5745" Properties=species:S:1:pos:R:3 comment="Li2CuPt, relaxed, DFT PBE" spacegroup="P4mm, No. 99" delta_e_f_ev_per_atom=-0.25 mass_density_g_cm3=8.3 energy_ev_per_atom=-3.737 magmom_total_mub_per_cell=0.0 pbc="T T T"
Cu -2.8918 0.6860 3.9225
Li -1.0815 1.5586 5.5291
Li -2.3566 -0.0854 1.1861
Pt -0.5412 0.7799 2.7668

***

# 3
4
Lattice="2.9460 0.0000 0.0000 0.0000 5.0929 -0.0078 0.0000 3.3301 4.4502" Properties=species:S:1:pos:R:3 comment="Mg2OsAu, relaxed, DFT PBE" spacegroup="P2/m, No. 10" delta_e_f_ev_per_atom=0.09 mass_density_g_cm3=10.8 energy_ev_per_atom=-4.330 magmom_total_mub_per_cell=0.4 pbc="T T T"
Au 0.0000 1.6650 2.2251
Mg 0.0000 0.0000 0.0000
Mg 1.4730 2.5464 -0.0039
Os 1.4730 4.2115 2.2212

***

# 4
3
Lattice="-0.4612 -0.6982 3.6207 -2.6449 -2.4800 -0.8147 5.0043 -2.0082 -1.6571" Properties=species:S:1:pos:R:3 comment="Sc2Te, relaxed, DFT PBE" formation_energy_uncorrected_mev_per_atom=-718 spacegroup="I4/mmm, No. 139" mass_density_g_cm3=5.2 energy_ev_per_atom=-5.986 magmom_total_mub_per_cell=0.0 pbc="T T T"
Sc 1.1260 -1.1730 -0.0832
Sc 0.7721 -4.0134 1.2321
Te -1.5530 -1.5891 1.4030

***

# 5
4
Lattice="-1.0106 3.6006 2.6683 -3.3763 -0.3139 3.0995 0.9999 -0.1105 4.4826" Properties=species:S:1:pos:R:3 comment="InNiAu2, relaxed, DFT PBE" spacegroup="F-43m, No. 216" delta_e_f_ev_per_atom=-0.02 mass_density_g_cm3=13.7 energy_ev_per_atom=-3.789 magmom_total_mub_per_cell=0.0 pbc="T T T"
Ni -2.5403 2.3822 7.6878
Au 0.0000 0.0000 0.0000
Au -0.8468 0.7941 2.5626
In -1.6936 1.5881 5.1252

***

# 6
12
Lattice="4.5156 0.0000 0.0000 0.0000 5.2393 0.0000 0.0000 0.0000 5.5723" Properties=species:S:1:pos:R:3 comment="MgIrO4, relaxed, DFT PBE" formation_energy_uncorrected_mev_per_atom=-1285 spacegroup="Pnc2, No. 30" mass_density_g_cm3=7.1 energy_ev_per_atom=-6.333 magmom_total_mub_per_cell=0.0 pbc="T T T"
Mg 0.0000 2.6197 0.8720
Mg 2.2578 2.6197 3.6582
Ir 0.0000 0.0000 4.8022
Ir 2.2578 0.0000 2.0160
O 1.1076 4.4241 0.6508
O 0.9695 1.6367 4.8706
O 1.2883 1.6367 2.0845
O 1.1502 4.4241 3.4369
O 3.2273 3.6026 2.0845
O 3.3653 0.8152 3.4369
O 3.4080 0.8152 0.6508
O 3.5460 3.6026 4.8706

***

# 7
8
Lattice="-2.3996 -4.2238 -2.0291 5.9361 -1.3012 -4.3113 -0.2493 -3.1092 6.7668" Properties=species:S:1:pos:R:3 comment="Pm3YPb4, relaxed, DFT PBE" spacegroup="Cmmm, No. 65" delta_e_f_ev_per_atom=-0.44 mass_density_g_cm3=8.8 energy_ev_per_atom=-4.885 magmom_total_mub_per_cell=0.0 pbc="T T T"
Pm -0.1246 -1.5546 3.3834
Pm 1.6437 -4.3171 0.2132
Pm 2.9681 -0.6506 -2.1557
Y -1.1998 -2.1119 -1.0146
Pb 1.3780 -1.0687 0.5950
Pb 3.2039 -3.8610 -2.5812
Pb 4.3089 -3.3417 1.8605
Pb 0.0835 -4.7731 3.0075

***

# 8
4
Lattice="3.7509 0.0000 0.0000 0.0000 4.2729 0.0000 -1.8755 0.0000 5.6144" Properties=species:S:1:pos:R:3 comment="PmThCuNi, relaxed, DFT PBE" spacegroup="Amm2, No. 38" delta_e_f_ev_per_atom=-0.28 mass_density_g_cm3=9.2 energy_ev_per_atom=-5.791 magmom_total_mub_per_cell=0.0 pbc="T T T"
Pm 0.0000 0.0000 1.5936
Th 1.8755 2.1364 4.1463
Cu 1.8755 2.1364 0.8085
Ni 0.0000 0.0000 4.6804

***

# 9
20
Lattice="3.6064 0.0000 0.0000 0.0000 10.9954 0.0000 0.0000 0.0000 10.9954" Properties=species:S:1:pos:R:3 comment="Ce2Pr2DyRh5, relaxed, DFT PBE" spacegroup="P4/mbm, No. 127" delta_e_f_ev_per_atom=-0.59 mass_density_g_cm3=9.4 energy_ev_per_atom=-6.866 magmom_total_mub_per_cell=0.0 pbc="T T T"
Ce 0.0000 1.5576 7.0553
Ce 0.0000 9.4378 3.9401
Ce 0.0000 7.0553 9.4378
Ce 0.0000 3.9401 1.5576
Pr 0.0000 7.3468 1.8490
Pr 0.0000 3.6487 9.1464
Pr 0.0000 1.8490 3.6487
Pr 0.0000 9.1464 7.3468
Dy 0.0000 0.0000 0.0000
Dy 0.0000 5.4977 5.4977
Rh 1.8032 2.1614 0.6000
Rh 1.8032 8.8340 10.3955
Rh 1.8032 0.6000 8.8340
Rh 1.8032 7.6591 4.8978
Rh 1.8032 10.3955 2.1614
Rh 1.8032 3.3363 6.0977
Rh 1.8032 6.0977 7.6591
Rh 1.8032 4.8978 3.3363
Rh 1.8032 5.4977 0.0000
Rh 1.8032 0.0000 5.4977

***

# 10
8
Lattice="6.5068 0.0000 0.0000 0.0000 6.5068 0.0000 0.0000 0.0000 6.5068" Properties=species:S:1:pos:R:3 comment="Nd4Bi3Pb, relaxed, DFT PBE" spacegroup="Pm-3m, No. 221" delta_e_f_ev_per_atom=-0.82 mass_density_g_cm3=8.5 energy_ev_per_atom=-5.118 magmom_total_mub_per_cell=0.0 pbc="T T T"
Pb 0.0000 0.0000 0.0000
Nd 3.2534 0.0000 0.0000
Nd 0.0000 3.2534 0.0000
Nd 0.0000 0.0000 3.2534
Nd 3.2534 3.2534 3.2534
Bi 0.0000 3.2534 3.2534
Bi 3.2534 0.0000 3.2534
Bi 3.2534 3.2534 0.0000

***

# 11
16
Lattice="3.1321 0.0000 0.0000 0.0000 5.4770 0.0000 0.0000 0.0000 10.7122" Properties=species:S:1:pos:R:3 comment="UCrC2, relaxed, DFT PBE" spacegroup="Pnma, No. 62" delta_e_f_ev_per_atom=-0.21 mass_density_g_cm3=11.4 energy_ev_per_atom=-10.054 magmom_total_mub_per_cell=0.0 pbc="T T T"
U 2.3491 0.4240 1.5138
U 0.7830 5.0530 9.1984
U 2.3491 3.1626 3.8423
U 0.7830 2.3145 6.8699
Cr 0.7830 3.1481 1.0582
Cr 0.7830 0.4096 4.2979
Cr 2.3491 2.3290 9.6540
Cr 2.3491 5.0675 6.4143
C 2.3491 1.2457 5.2413
C 0.7830 4.2314 5.4709
C 2.3491 3.9842 0.1148
C 0.7830 1.4929 10.5974
C 2.3491 0.9245 8.0788
C 0.7830 1.8140 2.7227
C 2.3491 3.6631 7.9896
C 0.7830 4.5525 2.6334

***

# 12
12
Lattice="-2.2236 5.4825 -4.0261 2.9475 -2.0993 -5.9980 -7.2046 -4.3930 -2.0028" Properties=species:S:1:pos:R:3 comment="KLiTb2Br8, relaxed, DFT PBE" formation_energy_uncorrected_mev_per_atom=-1763 spacegroup="P2/m, No. 10" mass_density_g_cm3=3.9 energy_ev_per_atom=-3.901 magmom_total_mub_per_cell=0.0 pbc="T T T"
K -3.6023 -2.1965 -1.0014
Li 0.0000 0.0000 0.0000
Tb -5.0948 -1.6358 -6.5290
Tb -1.3859 0.6259 -5.4980
Br 0.2875 -1.5662 -5.7896
Br 0.6138 2.1347 -6.8900
Br -2.7063 3.0331 -5.1082
Br -6.7683 0.5563 -6.2373
Br -7.0946 -3.1445 -5.1369
Br -3.7745 -4.0430 -6.9187
Br -2.9939 -0.0986 -7.7913
Br -3.4869 -0.9113 -4.2356